No. 1
The following is a DFT calculation (PBE) of CeSm6Ho2Tm after structural relaxation.

POSCAR file:
```
CeSm6Ho2Tm
1.0
8.722 0.000 1.175
0.000 6.943 0.000
-2.162 -3.472 5.253
Ce Sm Ho Tm
1 6 2 1
direct
0.000 0.500 0.000
0.417 0.625 0.250
0.202 0.064 0.656
0.798 0.408 0.344
0.202 0.592 0.656
0.798 0.936 0.344
0.583 0.375 0.750
0.169 0.090 0.180
0.831 0.910 0.820
0.500 0.000 0.000
```

E_form: 247 meV per atom
Volume: 335.8 Å³ per cell
Magnetic moment: 0.140 μB per atom
SG: No. 12

No. 2
The following is a DFT calculation (PBE) of Ce2Sm3Ho6Tm after structural relaxation.

POSCAR file:
```
Ce2Sm3Ho6Tm
1.0
6.142 0.000 0.006
-3.069 5.320 0.006
-1.033 -1.789 11.528
Ce Sm Ho Tm
2 3 6 1
direct
0.334 0.666 0.000
0.666 0.334 0.000
0.166 0.834 0.500
0.834 0.166 0.500
0.500 0.500 0.500
0.918 0.583 0.754
0.747 0.747 0.247
0.082 0.417 0.246
0.583 0.918 0.754
0.253 0.253 0.753
0.417 0.082 0.246
0.000 0.000 0.000
```

E_form: 44 meV per atom
Volume: 376.8 Å³ per cell
Magnetic moment: 0.154 μB per atom
SG: No. 12

No. 3
The following is a DFT calculation (PBE) of CeSm3Ho2Tm6 after structural relaxation.

POSCAR file:
```
CeSm3Ho2Tm6
1.0
-1.856 5.263 2.526
-4.093 -3.793 -2.527
0.668 -5.794 10.088
Ce Sm Ho Tm
1 3 2 6
direct
0.000 0.000 0.000
0.168 0.832 0.500
0.832 0.168 0.500
0.500 0.500 0.500
0.333 0.667 0.000
0.667 0.333 0.000
0.917 0.586 0.752
0.752 0.752 0.248
0.083 0.414 0.248
0.586 0.917 0.752
0.248 0.248 0.752
0.414 0.083 0.248
```

E_form: 35 meV per atom
Volume: 372.9 Å³ per cell
Magnetic moment: 0.091 μB per atom
SG: No. 12

No. 4
The following is a DFT calculation (PBE) of CeSmHo2Tm after structural relaxation.

POSCAR file:
```
CeSmHo2Tm
1.0
7.168 0.000 0.000
0.000 7.582 1.395
0.000 -1.057 5.735
Ce Sm Ho Tm
2 2 4 2
direct
0.000 0.000 0.000
0.000 0.000 0.500
0.163 0.500 0.750
0.837 0.500 0.250
0.678 0.709 0.750
0.678 0.291 0.750
0.322 0.709 0.250
0.322 0.291 0.250
0.613 0.000 0.250
0.387 0.000 0.750
```

E_form: 292 meV per atom
Volume: 322.3 Å³ per cell
Magnetic moment: 0.322 μB per atom
SG: No. 51

No. 5
The following is a DFT calculation (PBE) of Ce2SmHo3Tm6 after structural relaxation.

POSCAR file:
```
Ce2SmHo3Tm6
1.0
6.082 0.000 0.010
-3.040 5.268 0.010
-1.033 -1.788 11.419
Ce Sm Ho Tm
2 1 3 6
direct
0.333 0.667 0.000
0.667 0.333 0.000
0.000 0.000 0.000
0.166 0.834 0.500
0.834 0.166 0.500
0.500 0.500 0.500
0.916 0.580 0.750
0.748 0.748 0.250
0.084 0.420 0.250
0.580 0.916 0.750
0.252 0.252 0.750
0.420 0.084 0.250
```

E_form: 50 meV per atom
Volume: 366.1 Å³ per cell
Magnetic moment: 0.146 μB per atom
SG: No. 12

No. 6
The following is a DFT calculation (PBE) of Ce2Sm3HoTm6 after structural relaxation.

POSCAR file:
```
Ce2Sm3HoTm6
1.0
-2.800 1.052 -5.335
0.821 -5.742 1.941
-9.441 1.934 6.504
Ce Sm Ho Tm
2 3 1 6
direct
0.334 0.666 0.000
0.666 0.334 0.000
0.166 0.834 0.500
0.834 0.166 0.500
0.500 0.500 0.500
0.000 0.000 0.000
0.917 0.582 0.753
0.748 0.748 0.247
0.083 0.418 0.247
0.582 0.917 0.753
0.252 0.252 0.753
0.418 0.083 0.247
```

E_form: 44 meV per atom
Volume: 371.0 Å³ per cell
Magnetic moment: 0.150 μB per atom
SG: No. 12

No. 7
The following is a DFT calculation (PBE) of Ce2SmY3Ho6 after structural relaxation.

POSCAR file:
```
Ce2SmY3Ho6
1.0
6.138 -0.001 0.016
-3.068 5.316 0.016
-1.054 -1.824 11.545
Ce Sm Y Ho
2 1 3 6
direct
0.333 0.667 0.000
0.667 0.333 0.000
0.000 0.000 0.000
0.166 0.834 0.500
0.834 0.166 0.500
0.500 0.500 0.500
0.917 0.581 0.751
0.747 0.747 0.249
0.083 0.419 0.249
0.581 0.917 0.751
0.253 0.253 0.751
0.419 0.083 0.249
```

E_form: 51 meV per atom
Volume: 377.0 Å³ per cell
Magnetic moment: 0.149 μB per atom
SG: No. 12

No. 8
The following is a DFT calculation (PBE) of CeSm2Y6Ho3 after structural relaxation.

POSCAR file:
```
CeSm2Y6Ho3
1.0
-0.632 6.016 -1.304
-3.239 -4.210 -3.176
-7.334 0.175 9.257
Ce Sm Y Ho
1 2 6 3
direct
0.000 0.000 0.000
0.333 0.667 0.000
0.667 0.333 0.000
0.916 0.585 0.748
0.753 0.753 0.252
0.084 0.415 0.252
0.585 0.916 0.748
0.247 0.247 0.748
0.415 0.084 0.252
0.167 0.833 0.500
0.833 0.167 0.500
0.500 0.500 0.500
```

E_form: 40 meV per atom
Volume: 385.8 Å³ per cell
Magnetic moment: 0.087 μB per atom
SG: No. 12

No. 9
The following is a DFT calculation (PBE) of CeSm6Y3Ho2 after structural relaxation.

POSCAR file:
```
CeSm6Y3Ho2
1.0
-5.023 0.438 -3.656
5.109 -2.905 -2.062
-4.042 -9.289 6.210
Ce Sm Y Ho
1 6 3 2
direct
0.000 0.000 0.000
0.917 0.586 0.751
0.751 0.751 0.249
0.083 0.414 0.249
0.586 0.917 0.751
0.249 0.249 0.751
0.414 0.083 0.249
0.167 0.833 0.500
0.833 0.167 0.500
0.500 0.500 0.500
0.333 0.667 0.000
0.667 0.333 0.000
```

E_form: 37 meV per atom
Volume: 393.0 Å³ per cell
Magnetic moment: 0.110 μB per atom
SG: No. 12

No. 10
The following is a DFT calculation (PBE) of CeSm3Y6Ho2 after structural relaxation.

POSCAR file:
```
CeSm3Y6Ho2
1.0
-0.971 5.630 -2.415
-0.267 -5.019 -3.634
-10.980 -1.212 4.242
Ce Sm Y Ho
1 3 6 2
direct
0.000 0.000 0.000
0.168 0.832 0.500
0.832 0.168 0.500
0.500 0.500 0.500
0.917 0.586 0.752
0.751 0.751 0.248
0.083 0.414 0.248
0.586 0.917 0.752
0.249 0.249 0.752
0.414 0.083 0.248
0.333 0.667 0.000
0.667 0.333 0.000
```

E_form: 35 meV per atom
Volume: 388.2 Å³ per cell
Magnetic moment: 0.096 μB per atom
SG: No. 12

No. 11
The following is a DFT calculation (PBE) of CeSm2Y5Ho after structural relaxation.

POSCAR file:
```
CeSm2Y5Ho
1.0
-6.248 -5.803 -1.142
5.380 -4.888 -4.602
2.670 1.652 9.408
Ce Sm Y Ho
2 4 10 2
direct
0.250 0.750 0.500
0.750 0.250 0.500
0.120 0.380 0.000
0.620 0.120 0.000
0.380 0.880 0.000
0.880 0.620 0.000
0.939 0.439 0.280
0.659 0.159 0.720
0.061 0.561 0.720
0.159 0.061 0.720
0.561 0.659 0.720
0.841 0.939 0.280
0.439 0.341 0.280
0.341 0.841 0.280
0.500 0.500 0.000
0.000 0.000 0.000
0.250 0.250 0.500
0.750 0.750 0.500
```

E_form: 265 meV per atom
Volume: 579.8 Å³ per cell
Magnetic moment: 0.115 μB per atom
SG: No. 140

No. 12
The following is a DFT calculation (PBE) of Ce2Sm6Y3Ho after structural relaxation.

POSCAR file:
```
Ce2Sm6Y3Ho
1.0
6.218 -0.001 -0.003
-3.109 5.385 -0.003
-1.035 -1.792 11.705
Ce Sm Y Ho
2 6 3 1
direct
0.333 0.667 0.000
0.667 0.333 0.000
0.917 0.581 0.752
0.748 0.748 0.248
0.083 0.419 0.248
0.581 0.917 0.752
0.252 0.252 0.752
0.419 0.083 0.248
0.166 0.834 0.500
0.834 0.166 0.500
0.500 0.500 0.500
0.000 0.000 0.000
```

E_form: 52 meV per atom
Volume: 391.8 Å³ per cell
Magnetic moment: 0.176 μB per atom
SG: No. 12

No. 13
The following is a DFT calculation (PBE) of CeSmYHo2 after structural relaxation.

POSCAR file:
```
CeSmYHo2
1.0
-2.717 -2.608 4.019
7.317 -0.679 4.508
-1.371 6.295 3.158
Ce Sm Y Ho
2 2 2 4
direct
0.000 0.000 0.000
0.000 0.000 0.500
0.000 0.500 0.750
0.000 0.500 0.250
0.500 0.000 0.250
0.500 0.000 0.750
0.500 0.681 0.000
0.500 0.319 0.500
0.500 0.681 0.500
0.500 0.319 0.000
```

E_form: 324 meV per atom
Volume: 340.7 Å³ per cell
Magnetic moment: 0.264 μB per atom
SG: No. 10

No. 14
The following is a DFT calculation (PBE) of CeSm2YHo after structural relaxation.

POSCAR file:
```
CeSm2YHo
1.0
-6.760 3.933 2.548
1.229 -1.941 6.256
3.297 5.066 0.928
Ce Sm Y Ho
2 4 2 2
direct
0.000 0.000 0.000
0.000 0.000 0.500
0.693 0.738 0.750
0.693 0.262 0.750
0.307 0.738 0.250
0.307 0.262 0.250
0.644 0.000 0.250
0.356 0.000 0.750
0.122 0.500 0.750
0.878 0.500 0.250
```

E_form: 290 meV per atom
Volume: 335.2 Å³ per cell
Magnetic moment: 0.105 μB per atom
SG: No. 51

No. 15
The following is a DFT calculation (PBE) of CeSm6Y2Ho3 after structural relaxation.

POSCAR file:
```
CeSm6Y2Ho3
1.0
6.222 -0.001 0.016
-3.111 5.389 0.016
-1.068 -1.849 11.670
Ce Sm Y Ho
1 6 2 3
direct
0.000 0.000 0.000
0.917 0.586 0.749
0.752 0.752 0.251
0.083 0.414 0.251
0.586 0.917 0.749
0.248 0.248 0.749
0.414 0.083 0.251
0.333 0.667 0.000
0.667 0.333 0.000
0.167 0.833 0.500
0.833 0.167 0.500
0.500 0.500 0.500
```

E_form: 38 meV per atom
Volume: 391.7 Å³ per cell
Magnetic moment: 0.112 μB per atom
SG: No. 12

No. 16
The following is a DFT calculation (PBE) of CeSmHoZn after structural relaxation.

POSCAR file:
```
CeSmHoZn
1.0
5.361 0.000 0.000
2.681 4.643 0.000
2.681 1.548 4.378
Zn Ce Ho Sm
1 1 1 1
direct
0.000 0.000 0.000
0.750 0.750 0.750
0.500 0.500 0.500
0.250 0.250 0.250
```

E_form: 68 meV per atom
Volume: 109.0 Å³ per cell
Magnetic moment: 0.362 μB per atom
SG: No. 216

No. 17
The following is a DFT calculation (PBE) of CeSmHoZr after structural relaxation.

POSCAR file:
```
CeSmHoZr
1.0
5.500 0.000 0.000
2.750 4.763 0.000
2.750 1.588 4.491
Zr Ce Ho Sm
1 1 1 1
direct
0.250 0.250 0.250
0.500 0.500 0.500
0.000 0.000 0.000
0.750 0.750 0.750
```

E_form: 251 meV per atom
Volume: 117.7 Å³ per cell
Magnetic moment: 0.702 μB per atom
SG: No. 216

No. 18
The following is a DFT calculation (PBE) of Ce2HoSn3 after structural relaxation.

POSCAR file:
```
Ce2HoSn3
1.0
3.269 0.000 0.000
0.000 5.494 -1.857
0.000 0.026 9.130
Ce Ho Sn
2 1 3
direct
0.000 0.666 0.332
0.000 0.334 0.668
0.000 0.000 0.000
0.500 0.164 0.328
0.500 0.500 0.000
0.500 0.836 0.672
```

E_form: -590 meV per atom
Volume: 164.1 Å³ per cell
Magnetic moment: 0.339 μB per atom
Distance to the lowest polymorph of the same formula: 0 meV per atom
SG: No. 65

No. 19
The following is a DFT calculation (PBE) of Ce6HoSn10 after structural relaxation.

POSCAR file:
```
Ce6HoSn10
1.0
-2.690 -0.330 5.714
-7.637 -3.779 -3.814
6.948 -5.491 2.954
Ce Ho Sn
6 1 10
direct
0.733 0.388 0.388
0.733 0.000 0.612
0.733 0.612 0.000
0.267 0.612 0.612
0.267 0.000 0.388
0.267 0.388 0.000
0.500 0.000 0.000
0.799 0.739 0.739
0.799 0.000 0.261
0.799 0.261 0.000
0.201 0.261 0.261
0.201 0.000 0.739
0.201 0.739 0.000
0.500 0.333 0.667
0.500 0.667 0.333
0.000 0.667 0.333
0.000 0.333 0.667
```

E_form: -524 meV per atom
Volume: 477.3 Å³ per cell
Magnetic moment: 0.205 μB per atom
SG: No. 162

No. 20
The following is a DFT calculation (PBE) of CeHoSn6 after structural relaxation.

POSCAR file:
```
CeHoSn6
1.0
-1.734 -4.379 -0.327
3.333 -1.084 -3.163
5.684 -2.769 6.938
Ce Ho Sn
1 1 6
direct
0.000 0.000 0.000
0.000 0.000 0.500
0.500 0.500 0.000
0.500 0.500 0.500
0.500 0.000 0.252
0.500 0.000 0.748
0.000 0.500 0.252
0.000 0.500 0.748
```

E_form: -467 meV per atom
Volume: 209.3 Å³ per cell
Magnetic moment: 0.059 μB per atom
SG: No. 123